Entry 1:
Density functional theory data (PBE) for ScNbSi2O8 after structural relaxation.

Output
V (Å³ per atom): 10.74
Formation energy without anion corrections (eV/atom): -2.8414

The structure in CIF format:
```
data_ScNbSi2O8
_chemical_formula_sum 'Sc2 Nb2 Si4 O16'
_space_group_name_H-M_alt 'I -4 m 2'
_space_group_IT_number 119
_space_group_name_Hall 'I -4 -2'
_cell_length_a 6.571
_cell_length_b 6.571
_cell_length_c 5.969
_cell_angle_alpha 90.00
_cell_angle_beta 90.00
_cell_angle_gamma 90.00
loop_
_atom_site_label
_atom_site_fract_x
_atom_site_fract_y
_atom_site_fract_z
Sc1 0.000 0.000 0.000
Nb1 0.000 0.500 0.250
Si1 0.000 0.000 0.500
Si2 0.000 0.500 0.750
O1 0.000 0.191 0.323
O2 0.000 0.319 0.938
```

---

Entry 2:
Density functional theory data (PBE) for ScNbSi2O after structural relaxation.

Output
V (Å³ per atom): 15.48
Formation energy without anion corrections (eV/atom): -0.4632

The structure in CIF format:
```
data_ScNbSi2O
_chemical_formula_sum 'Sc1 Nb1 Si2 O1'
_space_group_name_H-M_alt 'P 4/m m m'
_space_group_IT_number 123
_space_group_name_Hall '-P 4 2'
_cell_length_a 4.366
_cell_length_b 4.366
_cell_length_c 4.059
_cell_angle_alpha 90.00
_cell_angle_beta 90.00
_cell_angle_gamma 90.00
loop_
_atom_site_label
_atom_site_fract_x
_atom_site_fract_y
_atom_site_fract_z
Sc1 0.000 0.000 0.000
Nb1 0.500 0.500 0.000
Si1 0.000 0.500 0.500
O1 0.500 0.500 0.500
```

---

Entry 3:
Density functional theory data (PBE) for ScNbSnO6 after structural relaxation.

Output
V (Å³ per atom): 12.44
Formation energy without anion corrections (eV/atom): -2.5087

The structure in CIF format:
```
data_ScNbSnO6
_chemical_formula_sum 'Sc2 Nb2 Sn2 O12'
_space_group_name_H-M_alt 'P 42 n m'
_space_group_IT_number 102
_cell_length_a 4.839
_cell_length_b 4.839
_cell_length_c 9.557
_cell_angle_alpha 90.00
_cell_angle_beta 90.00
_cell_angle_gamma 90.00
loop_
_space_group_symop_operation_xyz
'x,y,z'
'-y+1/2,x+1/2,z+1/2'
'-x,-y,z'
'y+1/2,-x+1/2,z+1/2'
'-x+1/2,y+1/2,z+1/2'
'y,x,z'
'x+1/2,-y+1/2,z+1/2'
'-y,-x,z'
loop_
_atom_site_label
_atom_site_fract_x
_atom_site_fract_y
_atom_site_fract_z
Sc1 0.000 0.000 0.000
Nb1 0.000 0.000 0.332
Sn1 0.000 0.000 0.668
O1 0.190 0.190 0.497
O2 0.194 0.194 0.177
O3 0.202 0.202 0.832
```

---

The highest V belongs to which entry? ScNbSi2O

---

Among the records above, which one has the lowest V? ScNbSi2O8